(A)
# CrH3S | Alexandria | GGA-PBE | optimized geometry
# V: 7.312 Å³ per atom
# Magnetization: 0.00 μB per cell
data_CrH3S
_chemical_formula_sum 'Cr1 H3 S1'
_symmetry_space_group_name_H-M 'P m -3 m'
_symmetry_Int_Tables_number 221
_symmetry_space_group_name_Hall '-P 4 2 3'
_cell_length_a 3.319
_cell_length_b 3.319
_cell_length_c 3.319
_cell_angle_alpha 90.00
_cell_angle_beta 90.00
_cell_angle_gamma 90.00
loop_
_atom_site_label
_atom_site_fract_x
_atom_site_fract_y
_atom_site_fract_z
Cr1 0.000 0.000 0.000
H1 0.000 0.500 0.500
S1 0.500 0.500 0.500

(B)
# CrH3S | Alexandria | GGA-PBE | optimized geometry
# V: 8.128 Å³ per atom
# Magnetization: 1.61 μB per cell
data_CrH3S
_chemical_formula_sum 'Cr1 H3 S1'
_symmetry_space_group_name_H-M 'P m -3 m'
_symmetry_Int_Tables_number 221
_symmetry_space_group_name_Hall '-P 4 2 3'
_cell_length_a 3.438
_cell_length_b 3.438
_cell_length_c 3.438
_cell_angle_alpha 90.00
_cell_angle_beta 90.00
_cell_angle_gamma 90.00
loop_
_atom_site_label
_atom_site_fract_x
_atom_site_fract_y
_atom_site_fract_z
Cr1 0.000 0.000 0.000
H1 0.000 0.000 0.500
S1 0.500 0.500 0.500

Last place for stability: (A)

(A)
# Cr2HS | Alexandria | GGA-PBE | optimized geometry
# V: 11.230 Å³ per atom
# Magnetization: 4.20 μB per cell
data_Cr2HS
_chemical_formula_sum 'Cr8 H4 S4'
_symmetry_space_group_name_H-M 'I -4 2 d'
_symmetry_Int_Tables_number 122
_symmetry_space_group_name_Hall 'I -4 2bw'
_cell_length_a 4.315
_cell_length_b 4.315
_cell_length_c 9.650
_cell_angle_alpha 90.00
_cell_angle_beta 90.00
_cell_angle_gamma 90.00
loop_
_atom_site_label
_atom_site_fract_x
_atom_site_fract_y
_atom_site_fract_z
Cr1 0.142 0.250 0.125
H1 0.000 0.000 0.000
S1 0.000 0.000 0.500

(B)
# Cr2HS | Alexandria | GGA-PBE | optimized geometry
# V: 10.340 Å³ per atom
# Magnetization: 17.81 μB per cell
data_Cr2HS
_chemical_formula_sum 'Cr8 H4 S4'
_symmetry_space_group_name_H-M 'F m -3 m'
_symmetry_Int_Tables_number 225
_symmetry_space_group_name_Hall '-F 4 2 3'
_cell_length_a 5.490
_cell_length_b 5.490
_cell_length_c 5.490
_cell_angle_alpha 90.00
_cell_angle_beta 90.00
_cell_angle_gamma 90.00
loop_
_atom_site_label
_atom_site_fract_x
_atom_site_fract_y
_atom_site_fract_z
Cr1 0.250 0.250 0.250
H1 0.000 0.000 0.000
S1 0.000 0.000 0.500

Last place for stability: (B)

(A)
# Cr2SbH | Alexandria | GGA-PBE | optimized geometry
# V: 13.032 Å³ per atom
# Magnetization: 0.00 μB per cell
data_Cr2SbH
_chemical_formula_sum 'Cr8 Sb4 H4'
_symmetry_space_group_name_H-M 'I 41/a m d'
_symmetry_Int_Tables_number 141
_cell_length_a 4.535
_cell_length_b 4.535
_cell_length_c 10.140
_cell_angle_alpha 90.00
_cell_angle_beta 90.00
_cell_angle_gamma 90.00
loop_
_symmetry_equiv_pos_as_xyz
'x,y,z'
'-x,-y,-z'
'-y+1/4,x+3/4,z+1/4'
'y+1/4,-x+3/4,-z+1/4'
'-x+1/2,-y,z+1/2'
'x+1/2,y,-z+1/2'
'y+1/4,-x+1/4,z+3/4'
'-y+1/4,x+1/4,-z+3/4'
'x,-y,-z'
'-x,y,z'
'-y+1/4,-x+1/4,-z+3/4'
'y+1/4,x+1/4,z+3/4'
'-x+1/2,y,-z+1/2'
'x+1/2,-y,z+1/2'
'y+1/4,x+3/4,-z+1/4'
'-y+1/4,-x+3/4,z+1/4'
'x+1/2,y+1/2,z+1/2'
'-x+1/2,-y+1/2,-z+1/2'
'-y+3/4,x+1/4,z+3/4'
'y+3/4,-x+1/4,-z+3/4'
'-x,-y+1/2,z'
'x,y+1/2,-z'
'y+3/4,-x+3/4,z+1/4'
'-y+3/4,x+3/4,-z+1/4'
'x+1/2,-y+1/2,-z+1/2'
'-x+1/2,y+1/2,z+1/2'
'-y+3/4,-x+3/4,-z+1/4'
'y+3/4,x+3/4,z+1/4'
'-x,y+1/2,-z'
'x,-y+1/2,z'
'y+3/4,x+1/4,-z+3/4'
'-y+3/4,-x+1/4,z+3/4'
loop_
_atom_site_label
_atom_site_fract_x
_atom_site_fract_y
_atom_site_fract_z
Cr1 0.000 0.000 0.000
Sb1 0.000 0.250 0.375
H1 0.000 0.250 0.875

(B)
# Cr2SbH | Alexandria | GGA-PBE | optimized geometry
# V: 14.670 Å³ per atom
# Magnetization: 23.71 μB per cell
data_Cr2SbH
_chemical_formula_sum 'Cr8 Sb4 H4'
_symmetry_space_group_name_H-M 'F m -3 m'
_symmetry_Int_Tables_number 225
_symmetry_space_group_name_Hall '-F 4 2 3'
_cell_length_a 6.169
_cell_length_b 6.169
_cell_length_c 6.169
_cell_angle_alpha 90.00
_cell_angle_beta 90.00
_cell_angle_gamma 90.00
loop_
_atom_site_label
_atom_site_fract_x
_atom_site_fract_y
_atom_site_fract_z
Cr1 0.250 0.250 0.250
Sb1 0.000 0.000 0.000
H1 0.000 0.000 0.500

Last place for stability: (B)

(A)
# CrSbH3 | Alexandria | GGA-PBE | optimized geometry
# V: 13.492 Å³ per atom
# Magnetization: 5.08 μB per cell
data_CrSbH3
_chemical_formula_sum 'Cr1 Sb1 H3'
_symmetry_space_group_name_H-M 'P m -3 m'
_symmetry_Int_Tables_number 221
_symmetry_space_group_name_Hall '-P 4 2 3'
_cell_length_a 4.071
_cell_length_b 4.071
_cell_length_c 4.071
_cell_angle_alpha 90.00
_cell_angle_beta 90.00
_cell_angle_gamma 90.00
loop_
_atom_site_label
_atom_site_fract_x
_atom_site_fract_y
_atom_site_fract_z
Cr1 0.000 0.000 0.000
Sb1 0.500 0.500 0.500
H1 0.000 0.500 0.500

(B)
# CrSbH3 | Alexandria | GGA-PBE | optimized geometry
# V: 9.450 Å³ per atom
# Magnetization: 2.06 μB per cell
data_CrSbH3
_chemical_formula_sum 'Cr1 Sb1 H3'
_symmetry_space_group_name_H-M 'P m -3 m'
_symmetry_Int_Tables_number 221
_symmetry_space_group_name_Hall '-P 4 2 3'
_cell_length_a 3.615
_cell_length_b 3.615
_cell_length_c 3.615
_cell_angle_alpha 90.00
_cell_angle_beta 90.00
_cell_angle_gamma 90.00
loop_
_atom_site_label
_atom_site_fract_x
_atom_site_fract_y
_atom_site_fract_z
Cr1 0.000 0.000 0.000
Sb1 0.500 0.500 0.500
H1 0.000 0.000 0.500

Last place for stability: (A)

(A)
# Sc2CrH | Alexandria | GGA-PBE | optimized geometry
# V: 18.549 Å³ per atom
# Magnetization: 7.17 μB per cell
data_Sc2CrH
_chemical_formula_sum 'Sc6 Cr3 H3'
_symmetry_space_group_name_H-M 'R -3 m'
_symmetry_Int_Tables_number 166
_symmetry_space_group_name_Hall '-R 3 2"'
_cell_length_a 3.2709
_cell_length_b 3.2709
_cell_length_c 24.0238
_cell_angle_alpha 90.00
_cell_angle_beta 90.00
_cell_angle_gamma 120.00
loop_
_atom_site_label
_atom_site_fract_x
_atom_site_fract_y
_atom_site_fract_z
Sc1 0.0000 0.0000 0.0790
Cr1 0.0000 0.0000 0.5000
H1 0.0000 0.0000 0.0000

(B)
# Sc2CrH | Alexandria | GGA-PBE | optimized geometry
# V: 16.189 Å³ per atom
# Magnetization: 11.93 μB per cell
data_Sc2CrH
_chemical_formula_sum 'Sc8 Cr4 H4'
_symmetry_space_group_name_H-M 'I -4 2 d'
_symmetry_Int_Tables_number 122
_symmetry_space_group_name_Hall 'I -4 2bw'
_cell_length_a 6.305
_cell_length_b 6.305
_cell_length_c 6.516
_cell_angle_alpha 90.00
_cell_angle_beta 90.00
_cell_angle_gamma 90.00
loop_
_atom_site_label
_atom_site_fract_x
_atom_site_fract_y
_atom_site_fract_z
Sc1 0.147 0.250 0.125
Cr1 0.000 0.000 0.500
H1 0.000 0.000 0.000

Last place for stability: (A)

(A)
# Sc2CrH | Alexandria | GGA-PBE | optimized geometry
# V: 16.918 Å³ per atom
# Magnetization: 13.14 μB per cell
data_Sc2CrH
_chemical_formula_sum 'Sc8 Cr4 H4'
_symmetry_space_group_name_H-M 'F m -3 m'
_symmetry_Int_Tables_number 225
_symmetry_space_group_name_Hall '-F 4 2 3'
_cell_length_a 6.469
_cell_length_b 6.469
_cell_length_c 6.469
_cell_angle_alpha 90.00
_cell_angle_beta 90.00
_cell_angle_gamma 90.00
loop_
_atom_site_label
_atom_site_fract_x
_atom_site_fract_y
_atom_site_fract_z
Sc1 0.250 0.250 0.250
Cr1 0.000 0.000 0.000
H1 0.000 0.000 0.500

(B)
# Sc2CrH | Alexandria | GGA-PBE | optimized geometry
# V: 14.578 Å³ per atom
# Magnetization: 0.13 μB per cell
data_Sc2CrH
_chemical_formula_sum 'Sc6 Cr3 H3'
_symmetry_space_group_name_H-M 'R -3 m'
_symmetry_Int_Tables_number 166
_symmetry_space_group_name_Hall '-R 3 2"'
_cell_length_a 2.9607
_cell_length_b 2.9607
_cell_length_c 23.0439
_cell_angle_alpha 90.00
_cell_angle_beta 90.00
_cell_angle_gamma 120.00
loop_
_atom_site_label
_atom_site_fract_x
_atom_site_fract_y
_atom_site_fract_z
Sc1 0.0000 0.0000 0.1082
Cr1 0.0000 0.0000 0.0000
H1 0.0000 0.0000 0.5000

Last place for stability: (A)

(A)
# Cr3HSe | Alexandria | GGA-PBE | optimized geometry
# V: 10.755 Å³ per atom
# Magnetization: 4.99 μB per cell
data_Cr3HSe
_chemical_formula_sum 'Cr3 H1 Se1'
_symmetry_space_group_name_H-M 'P m -3 m'
_symmetry_Int_Tables_number 221
_symmetry_space_group_name_Hall '-P 4 2 3'
_cell_length_a 3.775
_cell_length_b 3.775
_cell_length_c 3.775
_cell_angle_alpha 90.00
_cell_angle_beta 90.00
_cell_angle_gamma 90.00
loop_
_atom_site_label
_atom_site_fract_x
_atom_site_fract_y
_atom_site_fract_z
Cr1 0.000 0.000 0.500
H1 0.000 0.000 0.000
Se1 0.500 0.500 0.500

(B)
# Cr3HSe | Alexandria | GGA-PBE | optimized geometry
# V: 22.603 Å³ per atom
# Magnetization: 13.00 μB per cell
data_Cr3HSe
_chemical_formula_sum 'Cr3 H1 Se1'
_symmetry_space_group_name_H-M 'P m -3 m'
_symmetry_Int_Tables_number 221
_symmetry_space_group_name_Hall '-P 4 2 3'
_cell_length_a 4.835
_cell_length_b 4.835
_cell_length_c 4.835
_cell_angle_alpha 90.00
_cell_angle_beta 90.00
_cell_angle_gamma 90.00
loop_
_atom_site_label
_atom_site_fract_x
_atom_site_fract_y
_atom_site_fract_z
Cr1 0.000 0.000 0.500
H1 0.500 0.500 0.500
Se1 0.000 0.000 0.000

Last place for stability: (B)

(A)
# CrH3Se | Alexandria | GGA-PBE | optimized geometry
# V: 9.008 Å³ per atom
# Magnetization: 0.00 μB per cell
data_CrH3Se
_chemical_formula_sum 'Cr1 H3 Se1'
_symmetry_space_group_name_H-M 'P m -3 m'
_symmetry_Int_Tables_number 221
_symmetry_space_group_name_Hall '-P 4 2 3'
_cell_length_a 3.558
_cell_length_b 3.558
_cell_length_c 3.558
_cell_angle_alpha 90.00
_cell_angle_beta 90.00
_cell_angle_gamma 90.00
loop_
_atom_site_label
_atom_site_fract_x
_atom_site_fract_y
_atom_site_fract_z
Cr1 0.000 0.000 0.000
H1 0.000 0.500 0.500
Se1 0.500 0.500 0.500

(B)
# CrH3Se | Alexandria | GGA-PBE | optimized geometry
# V: 8.656 Å³ per atom
# Magnetization: 1.75 μB per cell
data_CrH3Se
_chemical_formula_sum 'Cr1 H3 Se1'
_symmetry_space_group_name_H-M 'P m -3 m'
_symmetry_Int_Tables_number 221
_symmetry_space_group_name_Hall '-P 4 2 3'
_cell_length_a 3.511
_cell_length_b 3.511
_cell_length_c 3.511
_cell_angle_alpha 90.00
_cell_angle_beta 90.00
_cell_angle_gamma 90.00
loop_
_atom_site_label
_atom_site_fract_x
_atom_site_fract_y
_atom_site_fract_z
Cr1 0.000 0.000 0.000
H1 0.000 0.000 0.500
Se1 0.500 0.500 0.500

Last place for stability: (A)